Below is a geometry-optimized CdPtW structure, with properties calculated at the PBE level.

It has space group F-43m (No. 216), with a = 6.1622 Å, b = 6.1622 Å, c = 6.1622 Å, α = 90.00°, β = 90.00° and γ = 90.00°. The distinct sites, in fractional coordinates, are Cd at (0.0000, 0.0000, 0.0000), Pt at (0.2500, 0.2500, 0.2500) and W at (0.0000, 0.0000, 0.5000).

The raw total energy comes out at -75.33 eV/cell. Its offset from the most stable computed form is 1.072 eV per formula unit.



Below is a geometry-optimized CdPtW structure, with properties calculated at the PBE level.

It has space group P3m1 (No. 156), with a = 2.8677 Å, b = 2.8677 Å, c = 7.2280 Å, α = 90.00°, β = 90.00° and γ = 120.00°. The distinct sites, in fractional coordinates, are Cd at (0.0000, 0.0000, 0.0000), Pt at (0.3333, 0.6667, 0.3459) and W at (0.6667, 0.3333, 0.6446).

The raw total energy comes out at -19.53 eV/cell. Its offset from the most stable computed form is 0.376 eV per formula unit.



Below is a geometry-optimized CdPtW structure, with properties calculated at the PBE level.

It has space group F-43m (No. 216), with a = 6.2223 Å, b = 6.2223 Å, c = 6.2223 Å, α = 90.00°, β = 90.00° and γ = 90.00°. The distinct sites, in fractional coordinates, are Cd at (0.0000, 0.0000, 0.0000), Pt at (0.0000, 0.0000, 0.5000) and W at (0.2500, 0.2500, 0.7500).

The raw total energy comes out at -70.95 eV/cell. Its offset from the most stable computed form is 2.166 eV per formula unit.



Below is a geometry-optimized CdPt3W structure, with properties calculated at the PBE level.

It has space group Pm-3m (No. 221), with a = 4.8765 Å, b = 4.8765 Å, c = 4.8765 Å, α = 90.00°, β = 90.00° and γ = 90.00°. The distinct sites, in fractional coordinates, are Cd at (0.0000, 0.0000, 0.0000), Pt at (0.0000, 0.5000, 0.5000) and W at (0.5000, 0.5000, 0.5000).

The raw total energy comes out at -27.34 eV/cell. Its offset from the most stable computed form is 0.000 eV per formula unit.



Below is a geometry-optimized CdPtW structure, with properties calculated at the PBE level.

It has space group P2_1/m (No. 11), with a = 3.0699 Å, b = 4.3422 Å, c = 7.9870 Å, α = 90.00°, β = 90.40° and γ = 90.00°. The distinct sites, in fractional coordinates, are Cd at (0.2447, 0.2500, 0.1178), Pt at (0.2541, 0.2500, 0.7552) and W at (0.2499, 0.7500, 0.5226).

The raw total energy comes out at -39.81 eV/cell. Its offset from the most stable computed form is 0.000 eV per formula unit.



Below is a geometry-optimized CdPt6W structure, with properties calculated at the PBE level.

It has space group P4/mmm (No. 123), with a = 4.0114 Å, b = 4.0114 Å, c = 7.9752 Å, α = 90.00°, β = 90.00° and γ = 90.00°. The distinct sites, in fractional coordinates, are Cd at (0.0000, 0.0000, 0.0000), Pt at (0.0000, 0.5000, 0.2639), Pt at (0.5000, 0.5000, 0.0000), Pt at (0.5000, 0.5000, 0.5000) and W at (0.0000, 0.0000, 0.5000).

The raw total energy comes out at -52.45 eV/cell.



Below is a geometry-optimized CdPtW4 structure, with properties calculated at the PBE level.

It has space group F-43m (No. 216), with a = 7.5050 Å, b = 7.5050 Å, c = 7.5050 Å, α = 90.00°, β = 90.00° and γ = 90.00°. The distinct sites, in fractional coordinates, are Cd at (0.0000, 0.0000, 0.0000), Pt at (0.2500, 0.2500, 0.7500) and W at (0.1262, 0.1262, 0.3738).

The raw total energy comes out at -221.66 eV/cell.



Below is a geometry-optimized CdPtW structure, with properties calculated at the PBE level.

It has space group P-6m2 (No. 187), with a = 4.6206 Å, b = 4.6206 Å, c = 2.7365 Å, α = 90.00°, β = 90.00° and γ = 120.00°. The distinct sites, in fractional coordinates, are Cd at (0.0000, 0.0000, 0.0000), Pt at (0.3333, 0.6667, 0.0000) and W at (0.6667, 0.3333, 0.5000).

The raw total energy comes out at -18.93 eV/cell. Its offset from the most stable computed form is 0.978 eV per formula unit.



| no. | energy of formation (meV per atom) |
| --- | --- |
| 1 | 359 |
| 2 | 127 |
| 3 | 724 |
| 4 | 931 |
| 5 | 2 |
| 6 | -292 |
| 7 | 559 |
| 8 | 328 |